No. 1
DFT (GGA-PBE) results for an optimized crystal structure of TaGe3Pd.

a b c (Å): 4.7543 4.7543 4.7543
angles (deg): 90.00 90.00 90.00
Fractional positions:
Ge1 0.0000 0.5000 0.0000
Ge2 0.0000 0.0000 0.5000
Ge3 0.5000 0.0000 0.0000
Pd1 0.0000 0.0000 0.0000
Ta1 0.5000 0.5000 0.5000

No. 2
DFT (GGA-PBE) results for an optimized crystal structure of TaGe2Pd.

a b c (Å): 2.9838 4.6589 4.6589
angles (deg): 90.00 90.00 90.00
Fractional positions:
Ge1 0.0000 0.0000 0.5000
Ge2 0.0000 0.5000 0.0000
Pd1 0.5000 0.5000 0.5000
Ta1 0.5000 0.0000 0.0000

No. 3
DFT (GGA-PBE) results for an optimized crystal structure of TaGe2Pd.

a b c (Å): 4.0525 4.0525 9.2679
angles (deg): 77.37 77.37 90.00
Fractional positions:
Ge1 0.6178 0.1250 0.2500
Ge2 0.1322 0.6250 0.2500
Ge3 0.3750 0.3822 0.7500
Ge4 0.8750 0.8678 0.7500
Pd1 0.5000 0.5000 0.0000
Pd2 0.2500 0.7500 0.5000
Ta1 0.0000 0.0000 0.0000
Ta2 0.7500 0.2500 0.5000

No. 4
DFT (GGA-PBE) results for an optimized crystal structure of TaGe2Pd.

a b c (Å): 2.9564 2.9564 9.4413
angles (deg): 80.99 80.99 60.00
Fractional positions:
Ge1 0.0870 0.0870 0.7389
Ge2 0.9130 0.9130 0.2611
Pd1 0.0000 0.0000 0.0000
Ta1 0.5000 0.5000 0.5000

Number 1: formation enthalpy at 0 K 0.967 eV per atom, DOS at the Fermi energy 6.93 states/eV/f.u.. Number 2: formation enthalpy at 0 K -0.216 eV per atom, DOS at the Fermi energy 1.78 states/eV/f.u.. Number 3: formation enthalpy at 0 K 0.078 eV per atom, DOS at the Fermi energy 2.26 states/eV/f.u.. Number 4: formation enthalpy at 0 K -0.070 eV per atom, DOS at the Fermi energy 1.39 states/eV/f.u..